Entry 1:
The following is a DFT calculation (PBE) of a relaxed structure of MnZn2Se.

Summary:
As for the formation energy without anion corrections: 0.09 eV/atom. Its space group is Pm, No. 6. The value obtained for the final energy is -3.71 eV/atom. The calculation puts the size of the total moment at 3.396 μB/f.u.

Lattice parameters (Å, degrees): 2.812 4.143 6.134 90.00 103.21 90.00
Fractional coordinates of all 4 atoms:
Mn 0.000 0.000 0.000
Zn 0.572 0.500 0.142
Zn 0.690 0.000 0.389
Se 0.849 0.500 0.696

Entry 2:
The following is a DFT calculation (PBE) of a relaxed structure of MoIrAu2.

Summary:
Its space group is F-43m, No. 216. As for the polymorph energy (0 for the lowest one): 394.6 meV per atom. The formation energy comes out at 0.41 eV per atom. The value obtained for the final energy is -6.16 eV/atom. The calculation puts the size of the total moment at 0.532 μB/f.u.

Lattice parameters (Å, degrees): 6.435 6.435 6.435 90.00 90.00 90.00
Fractional coordinates of all 16 atoms:
Mo 0.000 0.000 0.000
Mo 0.000 0.500 0.500
Mo 0.500 0.000 0.500
Mo 0.500 0.500 0.000
Ir 0.250 0.250 0.250
Ir 0.250 0.750 0.750
Ir 0.750 0.250 0.750
Ir 0.750 0.750 0.250
Au 0.000 0.000 0.500
Au 0.000 0.500 0.000
Au 0.250 0.250 0.750
Au 0.250 0.750 0.250
Au 0.500 0.000 0.000
Au 0.500 0.500 0.500
Au 0.750 0.250 0.250
Au 0.750 0.750 0.750

Entry 3:
The following is a DFT calculation (PBE) of a relaxed structure of NdBeB4.

Summary:
Its space group is Cmmm, No. 65. The formation energy comes out at -0.31 eV per atom. The value obtained for the final energy is -6.17 eV/atom. The calculation puts the size of the total moment at 0.000 μB/f.u.

Lattice parameters (Å, degrees): 6.001 6.001 3.499 90.00 90.00 104.27
Fractional coordinates of all 12 atoms:
Nd 0.198 0.802 0.000
Nd 0.802 0.198 0.000
Be 0.326 0.326 0.000
Be 0.674 0.674 0.000
B 0.124 0.434 0.500
B 0.128 0.128 0.500
B 0.412 0.588 0.500
B 0.434 0.124 0.500
B 0.566 0.876 0.500
B 0.588 0.412 0.500
B 0.872 0.872 0.500
B 0.876 0.566 0.500